Entry 1:
{
  "formula": "Cu7Ag3",
  "functional": "PBE",
  "state": "optimized geometry",
  "lattice": [[1.9086, -9.4616, 0.0000], [1.9086, 9.4616, 0.0000], [0.0000, 0.0000, 3.7853]],
  "species": ["Cu", "Cu", "Cu", "Cu", "Cu", "Cu", "Cu", "Ag", "Ag", "Ag"],
  "fractional_positions": [[0.0000, 0.0000, 0.0000], [0.0982, 0.9018, 0.5000], [0.1949, 0.8051, 0.0000], [0.4020, 0.5980, 0.0000], [0.5980, 0.4020, 0.0000], [0.8051, 0.1949, 0.0000], [0.9018, 0.0982, 0.5000], [0.3035, 0.6965, 0.5000], [0.5000, 0.5000, 0.5000], [0.6965, 0.3035, 0.5000]],
  "formation_enthalpy_0k_mev_per_atom": 87,
  "energy_ev_per_atom": -3.36
}

---

Entry 2:
{
  "formula": "Gd4TeSe4O4",
  "functional": "PBE",
  "state": "optimized geometry",
  "lattice": [[7.8890, -1.8987, 0.0000], [7.8890, 1.8987, 0.0000], [-4.5095, 0.0000, 8.8781]],
  "species": ["Gd", "Gd", "Gd", "Gd", "Te", "Se", "Se", "Se", "Se", "O", "O", "O", "O"],
  "fractional_positions": [[0.0279, 0.0279, 0.3412], [0.2756, 0.2756, 0.6667], [0.7244, 0.7244, 0.3333], [0.9721, 0.9721, 0.6588], [0.5000, 0.5000, 0.0000], [0.1359, 0.1359, 0.0172], [0.3841, 0.3841, 0.3690], [0.6159, 0.6159, 0.6310], [0.8641, 0.8641, 0.9828], [0.1849, 0.1849, 0.4141], [0.4439, 0.4439, 0.7589], [0.5561, 0.5561, 0.2411], [0.8151, 0.8151, 0.5859]],
  "energy_ev_per_atom": -6.54,
  "total_magnetization_mub_per_fu": 0.0
}

---

Entry 3:
{
  "formula": "NdCuAsP",
  "functional": "PBE",
  "state": "optimized geometry",
  "lattice": [[3.8888, 0.0000, 0.0000], [0.0000, 3.8888, 0.0000], [0.0000, 0.0000, 10.0652]],
  "species": ["Nd", "Nd", "Cu", "Cu", "As", "As", "P", "P"],
  "fractional_positions": [[0.2500, 0.2500, 0.2443], [0.7500, 0.7500, 0.7557], [0.2500, 0.7500, 0.5000], [0.7500, 0.2500, 0.5000], [0.2500, 0.7500, 0.0000], [0.7500, 0.2500, 0.0000], [0.2500, 0.2500, 0.6433], [0.7500, 0.7500, 0.3567]],
  "energy_ev_per_atom": -5.52,
  "total_magnetization_mub_per_fu": 0.0
}

---

Entry 4:
{
  "formula": "SmAlGa2Ir",
  "functional": "PBE",
  "state": "optimized geometry",
  "lattice": [[-2.0067, 2.0067, 5.7097], [2.0067, -2.0067, 5.7097], [2.0067, 2.0067, -5.7097]],
  "species": ["Sm", "Al", "Ga", "Ga", "Ir"],
  "fractional_positions": [[0.0000, 0.0000, 0.0000], [0.7500, 0.2500, 0.5000], [0.3887, 0.3887, 0.0000], [0.6113, 0.6113, 0.0000], [0.2500, 0.7500, 0.5000]],
  "energy_ev_per_atom": -5.30,
  "total_magnetization_mub_per_fu": 0.0
}

---

Entry 5:
{
  "formula": "Hf2ScBi",
  "functional": "PBE",
  "state": "optimized geometry",
  "lattice": [[0.0000, 3.5673, 3.5673], [3.5673, 0.0000, 3.5673], [3.5673, 3.5673, 0.0000]],
  "species": ["Hf", "Hf", "Sc", "Bi"],
  "fractional_positions": [[0.0000, 0.0000, 0.0000], [0.2500, 0.2500, 0.2500], [0.7500, 0.7500, 0.7500], [0.5000, 0.5000, 0.5000]],
  "energy_ev_per_atom": -7.49,
  "total_magnetization_mub_per_fu": 1.4
}

---

Entry 6:
{
  "formula": "Sc2Sn3Mo4C3",
  "functional": "PBE",
  "state": "optimized geometry",
  "lattice": [[4.8569, -2.8184, 0.0000], [4.8569, 2.8184, 0.0000], [-3.2254, 0.0000, 13.7515]],
  "species": ["Sc", "Sc", "Sc", "Sc", "Sn", "Sn", "Sn", "Sn", "Sn", "Sn", "Mo", "Mo", "Mo", "Mo", "Mo", "Mo", "Mo", "Mo", "C", "C", "C", "C", "C", "C"],
  "fractional_positions": [[0.0308, 0.8683, 0.5935], [0.1317, 0.9692, 0.9065], [0.8683, 0.0308, 0.0935], [0.9692, 0.1317, 0.4065], [0.0863, 0.2786, 0.7499], [0.2786, 0.0863, 0.2499], [0.4488, 0.5512, 0.7500], [0.5512, 0.4488, 0.2500], [0.7214, 0.9137, 0.7501], [0.9137, 0.7214, 0.2501], [0.1919, 0.3513, 0.0758], [0.3017, 0.4823, 0.4243], [0.3513, 0.1919, 0.5758], [0.4823, 0.3017, 0.9243], [0.5177, 0.6983, 0.0757], [0.6487, 0.8081, 0.4242], [0.6983, 0.5177, 0.5757], [0.8081, 0.6487, 0.9242], [0.0000, 0.5000, 0.5000], [0.1702, 0.6591, 0.0000], [0.3409, 0.8298, 0.5000], [0.5000, 0.0000, 0.0000], [0.6591, 0.1702, 0.5000], [0.8298, 0.3409, 0.0000]],
  "energy_ev_per_atom": -8.28,
  "total_magnetization_mub_per_fu": 0.0
}

---

Entry 7:
{
  "formula": "Lu2Sc4Tl3C3",
  "functional": "PBE",
  "state": "optimized geometry",
  "lattice": [[5.1361, -2.9654, 0.0000], [5.1361, 2.9654, 0.0000], [-3.4243, 0.0000, 15.5355]],
  "species": ["Lu", "Lu", "Lu", "Lu", "Sc", "Sc", "Sc", "Sc", "Sc", "Sc", "Sc", "Sc", "Tl", "Tl", "Tl", "Tl", "Tl", "Tl", "C", "C", "C", "C", "C", "C"],
  "fractional_positions": [[0.0286, 0.8632, 0.5860], [0.1368, 0.9714, 0.9140], [0.8632, 0.0286, 0.0860], [0.9714, 0.1368, 0.4140], [0.1928, 0.3581, 0.0774], [0.3066, 0.4750, 0.4226], [0.3581, 0.1928, 0.5774], [0.4750, 0.3066, 0.9226], [0.5250, 0.6934, 0.0774], [0.6419, 0.8072, 0.4226], [0.6934, 0.5250, 0.5774], [0.8072, 0.6419, 0.9226], [0.0823, 0.2711, 0.7494], [0.2711, 0.0823, 0.2494], [0.4366, 0.5634, 0.7500], [0.5634, 0.4366, 0.2500], [0.7289, 0.9177, 0.7506], [0.9177, 0.7289, 0.2506], [0.0000, 0.5000, 0.5000], [0.1699, 0.6601, 0.0000], [0.3399, 0.8301, 0.5000], [0.5000, 0.0000, 0.0000], [0.6601, 0.1699, 0.5000], [0.8301, 0.3399, 0.0000]],
  "energy_ev_per_atom": -6.24,
  "total_magnetization_mub_per_fu": 0.1
}

---

Entry 8:
{
  "formula": "TaAs2O",
  "functional": "PBE",
  "state": "optimized geometry",
  "lattice": [[3.3404, 0.0000, 0.0000], [0.0000, 7.7019, 0.0000], [0.0000, 0.0000, 6.2500]],
  "species": ["Ta", "Ta", "As", "As", "As", "As", "O", "O"],
  "fractional_positions": [[0.0000, 0.1938, 0.0000], [0.0000, 0.8062, 0.5000], [0.0000, 0.1429, 0.5777], [0.0000, 0.8571, 0.0777], [0.5000, 0.3637, 0.6957], [0.5000, 0.6363, 0.1957], [0.5000, 0.2233, 0.1505], [0.5000, 0.7767, 0.6505]],
  "energy_ev_per_atom": -7.20,
  "total_magnetization_mub_per_fu": 0.0
}

---

Entry 9:
{
  "formula": "Al2CuSn",
  "functional": "PBE",
  "state": "optimized geometry",
  "lattice": [[0.0000, 3.3172, 3.3172], [3.3172, 0.0000, 3.3172], [3.3172, 3.3172, 0.0000]],
  "species": ["Al", "Al", "Cu", "Sn"],
  "fractional_positions": [[0.0000, 0.0000, 0.0000], [0.2500, 0.2500, 0.2500], [0.7500, 0.7500, 0.7500], [0.5000, 0.5000, 0.5000]],
  "energy_ev_per_atom": -3.58
}

---

Entry 10:
{
  "formula": "LiZrCoBi",
  "functional": "PBE",
  "state": "optimized geometry",
  "lattice": [[0.0000, 3.3018, 3.3018], [3.3018, 0.0000, 3.3018], [3.3018, 3.3018, 0.0000]],
  "species": ["Li", "Zr", "Co", "Bi"],
  "fractional_positions": [[0.0000, 0.0000, 0.0000], [0.2500, 0.2500, 0.2500], [0.7500, 0.7500, 0.7500], [0.5000, 0.5000, 0.5000]],
  "energy_ev_per_atom": -5.17,
  "total_magnetization_mub_per_fu": 1.1
}

---

Entry 11:
{
  "formula": "NdSmW",
  "functional": "PBE",
  "state": "optimized geometry",
  "lattice": [[0.0000, 3.5065, 3.5065], [3.5065, 0.0000, 3.5065], [3.5065, 3.5065, 0.0000]],
  "species": ["Nd", "Sm", "W"],
  "fractional_positions": [[0.0000, 0.0000, 0.0000], [0.5000, 0.5000, 0.5000], [0.2500, 0.2500, 0.2500]],
  "formation_enthalpy_0k_mev_per_atom": 843,
  "energy_ev_per_atom": -6.64,
  "total_magnetization_mub_per_fu": 0.0
}

---

Entry 12:
{
  "formula": "InCuPtW",
  "functional": "PBE",
  "state": "optimized geometry",
  "lattice": [[0.0000, 3.1955, 3.1955], [3.1955, 0.0000, 3.1955], [3.1955, 3.1955, 0.0000]],
  "species": ["In", "Cu", "Pt", "W"],
  "fractional_positions": [[0.0000, 0.0000, 0.0000], [0.2500, 0.2500, 0.2500], [0.5000, 0.5000, 0.5000], [0.7500, 0.7500, 0.7500]],
  "energy_ev_per_atom": -6.01,
  "total_magnetization_mub_per_fu": 0.9
}